# LaMnNi2, optimized geometry, DFT GGA-PBEsol
data_LaMnNi2
_cell_length_a 4.3564
_cell_length_b 4.3564
_cell_length_c 3.3705
_cell_angle_alpha 90.00
_cell_angle_beta 90.00
_cell_angle_gamma 90.00
_symmetry_space_group_name_H-M 'P 4/m m m'
_symmetry_Int_Tables_number 123
_symmetry_space_group_name_Hall '-P 4 2'
loop_
_atom_site_label
_atom_site_type_symbol
_atom_site_fract_x
_atom_site_fract_y
_atom_site_fract_z
La1 La 0.0000 0.0000 0.0000
Mn1 Mn 0.5000 0.5000 0.0000
Ni1 Ni 0.0000 0.5000 0.5000
# - volume (A^3/atom) = 16.0
# - DFT formation energy (kcal/mol of atoms) = 3.63
# - size of the total moment (μB/cell) = 3.687